Entry 1:
## Ag2HF6 (GGA-PBE)

Data for a relaxed Ag2HF6 crystal.

POSCAR file:
```
Ag2HF6
1.0
0.410 -4.547 -4.668
4.465 -4.240 2.172
-4.246 -4.503 2.719
Ag F H
4 12 2
Cartesian
-0.066 -3.264 -0.341
0.695 -10.026 0.564
-1.728 -5.481 1.797
2.357 -7.809 -1.574
0.986 -3.798 1.358
2.553 -9.695 -1.043
0.399 -11.950 0.263
-2.690 -6.168 0.099
0.231 -1.340 -0.040
3.319 -7.122 0.124
-0.059 -5.296 -0.790
-0.357 -9.491 -1.135
-1.252 -7.477 2.140
1.881 -5.813 -1.917
-1.924 -3.594 1.266
0.689 -7.994 1.013
-0.272 -7.735 1.593
0.901 -5.555 -1.370
```

Output
Theoretical density: 4.0 g/cm3
DOS at the Fermi energy: 0.4448 states/eV/atom
SG: No. 15

Entry 2:
## Tb2UTl2Se6 (GGA-PBE)

Data for a relaxed Tb2UTl2Se6 crystal.

POSCAR file:
```
Tb2UTl2Se6
1.0
-4.701 3.938 -3.818
3.076 -5.836 -2.943
-5.320 -3.789 4.950
U Se Tl Tb
1 6 2 2
Cartesian
-2.660 -1.895 2.475
-4.943 -4.070 -1.537
-4.111 -0.981 -3.864
-2.002 -1.618 -0.274
-2.834 -4.707 2.053
-5.390 -1.494 1.765
-1.555 -4.193 -3.576
-3.394 2.295 -3.671
1.769 -4.194 -3.090
-2.171 -4.480 -0.759
-4.774 -1.208 -1.052
```

Output
Theoretical density: 6.8 g/cm3
DOS at the Fermi energy: 0.5658 states/eV/atom
SG: No. 12

Number 1: total magnetic moment 0.00 μB/f.u., electronic total energy -60.71 eV/cell. Number 2: total magnetic moment 2.00 μB/f.u., electronic total energy -60.70 eV/cell.